First-principles (PBE) data for crystalline GdThSn2 at its relaxed geometry, as listed in the Alexandria database.

DOS at the Fermi energy ... 3.559 states/eV/f.u.
Uncorrected energy ... -7.7870 eV/atom

a b c (Å): 3.589 3.589 10.540
angles (deg): 80.20 80.20 60.00
Each line ends with the local moment (μB).
Element x y z (fractional)
Gd 0.000 0.000 0.000  -7.25
Sn 0.748 0.748 0.757  0.02
Sn 0.252 0.252 0.243  0.02
Th 0.500 0.500 0.500  0.03

First-principles (PBE) data for crystalline GdThTlSn at its relaxed geometry, as listed in the Alexandria database.

DOS at the Fermi energy ... 4.792 states/eV/f.u.
Uncorrected energy ... -7.3139 eV/atom

a b c (Å): 5.458 5.458 5.458
angles (deg): 60.00 60.00 60.00
Each line ends with the local moment (μB).
Element x y z (fractional)
Tl 0.750 0.750 0.750  -0.01
Gd 0.500 0.500 0.500  7.15
Sn 0.250 0.250 0.250  -0.01
Th 0.000 0.000 0.000  0.13

First-principles (PBE) data for crystalline GdTiSn at its relaxed geometry, as listed in the Alexandria database.

DOS at the Fermi energy ... 4.365 states/eV/f.u.
Uncorrected energy ... -8.8847 eV/atom

a b c (Å): 3.719 3.719 5.789
angles (deg): 108.74 108.74 90.00
Each line ends with the local moment (μB).
Element x y z (fractional)
Gd 0.618 0.618 0.236  7.17
Sn 0.929 0.929 0.857  -0.01
Ti 0.304 0.304 0.607  0.35

First-principles (PBE) data for crystalline GdTl2Sn at its relaxed geometry, as listed in the Alexandria database.

DOS at the Fermi energy ... 2.193 states/eV/f.u.
Uncorrected energy ... -6.0442 eV/atom

a b c (Å): 5.028 4.653 4.653
angles (deg): 90.00 90.00 90.00
Each line ends with the local moment (μB).
Element x y z (fractional)
Tl 0.000 0.000 0.500  -0.01
Tl 0.000 0.500 0.000  -0.01
Gd 0.500 0.500 0.500  6.95
Sn 0.500 0.000 0.000  -0.05

First-principles (PBE) data for crystalline GdTlSn2 at its relaxed geometry, as listed in the Alexandria database.

DOS at the Fermi energy ... 2.149 states/eV/f.u.
Uncorrected energy ... -6.5288 eV/atom

a b c (Å): 4.837 4.699 4.699
angles (deg): 90.00 90.00 90.00
Each line ends with the local moment (μB).
Element x y z (fractional)
Tl 0.500 0.500 0.500  0.00
Gd 0.500 0.000 0.000  6.93
Sn 0.000 0.000 0.500  -0.02
Sn 0.000 0.500 0.000  -0.02

First-principles (PBE) data for crystalline GdTlSn2 at its relaxed geometry, as listed in the Alexandria database.

DOS at the Fermi energy ... 2.635 states/eV/f.u.
Uncorrected energy ... -6.4218 eV/atom

a b c (Å): 4.179 4.179 6.440
angles (deg): 90.00 90.00 90.00
Each line ends with the local moment (μB).
Element x y z (fractional)
Tl 0.500 0.500 0.500  0.00
Gd 0.500 0.500 0.000  7.07
Sn 0.000 0.000 0.764  -0.01
Sn 0.000 0.000 0.236  -0.01

First-principles (PBE) data for crystalline Gd2TlSn at its relaxed geometry, as listed in the Alexandria database.

DOS at the Fermi energy ... 4.283 states/eV/f.u.
Uncorrected energy ... -9.1369 eV/atom

a b c (Å): 5.404 5.404 5.404
angles (deg): 60.00 60.00 60.00
Each line ends with the local moment (μB).
Element x y z (fractional)
Tl 0.000 0.000 0.000  -0.03
Gd 0.250 0.250 0.250  7.10
Gd 0.750 0.750 0.750  7.10
Sn 0.500 0.500 0.500  -0.06

First-principles (PBE) data for crystalline GdTlSn2 at its relaxed geometry, as listed in the Alexandria database.

DOS at the Fermi energy ... 4.208 states/eV/f.u.
Uncorrected energy ... -5.9126 eV/atom

a b c (Å): 5.088 5.088 8.458
angles (deg): 72.49 72.49 60.00
Each line ends with the local moment (μB).
Element x y z (fractional)
Tl 0.000 0.000 0.000  0.00
Gd 0.500 0.500 0.500  7.00
Sn 0.123 0.123 0.632  0.00
Sn 0.877 0.877 0.368  0.00